Sc6GaCo5: optimized geometry, PBE.

```
12
Lattice="-2.2279 3.1915 6.6956 2.2279 -3.1915 6.6956 2.2279 3.1915 -6.6956" Properties=species:S:1:pos:R:3 pbc="T T T"
Sc 2.2279 1.5588 -2.2871
Sc 0.0000 1.5155 0.0000
Sc 2.2279 1.5588 2.2871
Sc 0.0000 1.6327 4.4085
Sc 0.0000 4.8675 0.0000
Sc 0.0000 1.6327 8.9827
Ga 0.0000 0.0000 6.6956
Co 2.2279 0.0000 0.0000
Co 0.0000 0.0000 2.2356
Co 2.2279 0.0000 4.5029
Co 0.0000 3.1915 2.1927
Co 0.0000 0.0000 11.1556
```

Calculated values
ΔH_f (0 K): -0.382 eV/atom
magnetic moment: 1.5 μB/cell
SG: Immm (71)

***

La2CeTe: optimized geometry, PBE.

```
4
Lattice="2.0191 1.1657 10.1292 -2.0191 1.1657 10.1292 0.0000 -2.3314 10.1292" Properties=species:S:1:pos:R:3 pbc="T T T"
La 0.0000 0.0000 0.0000
La 0.0000 0.0000 5.6925
Ce 0.0000 0.0000 23.1238
Te 0.0000 0.0000 18.0317
```

Calculated values
raw formation energy: -0.524 eV per atom
magnetic moment: 1.7 μB/cell
SG: R3m (160)

***

AcP2O8: optimized geometry, PBE.

```
11
Lattice="6.2344 0.0000 0.0000 -3.1172 5.3991 0.0000 0.0000 0.0000 5.6215" Properties=species:S:1:pos:R:3 pbc="T T T"
Ac 0.0000 0.0000 0.0000
P 0.0000 3.5994 1.7557
P 3.1172 1.7997 3.8659
O 0.0000 2.1349 1.2920
O -1.2683 4.3317 1.2920
O 0.0000 3.5994 3.3147
O 1.8489 1.0674 4.3295
O 1.2683 4.3317 1.2920
O 3.1172 1.7997 2.3068
O 4.3855 1.0674 4.3295
O 3.1172 3.2643 4.3295
```

Calculated values
raw formation energy: -2.021 eV per atom
magnetic moment: 3.0 μB/cell
SG: P-3m1 (164)